An optimized crystal structure of Ba5AlS8, computed with PBE.

Cell lengths 8.269, 8.269, 8.269 Å; angles 114.41, 99.99, 114.41 degrees
Last column: magnetic moment on the atom in μB.
Fractional positions:
S (0.127, 0.677, 0.932)  0.26
S (0.484, 0.587, 0.286)  0.20
S (0.550, 0.806, 0.873)  0.26
S (0.256, 0.323, 0.450)  0.26
S (0.698, 0.413, 0.897)  0.20
S (0.068, 0.194, 0.744)  0.26
S (0.103, 0.802, 0.516)  0.20
S (0.714, 0.198, 0.302)  0.20
Al (0.250, 0.500, 0.750)  0.00
Ba (0.018, 0.398, 0.149)  0.02
Ba (0.751, 0.602, 0.620)  0.02
Ba (0.500, 0.000, 0.500)  0.00
Ba (0.380, 0.130, 0.982)  0.02
Ba (0.851, 0.870, 0.249)  0.02

Calculated values
Its density of states at the Fermi level is 5.36 states/eV/cell. The raw total energy is -4.715 eV per atom.

An optimized crystal structure of Ta3C2, computed with PBE.

Cell lengths 6.909, 5.817, 5.454 Å; angles 75.54, 54.61, 49.85 degrees
Fractional positions:
C (0.243, 0.994, 0.163)
C (0.600, 0.163, 0.994)
C (0.087, 0.650, 0.007)
C (0.256, 0.007, 0.650)
Ta (0.396, 0.178, 0.767)
Ta (0.853, 0.147, 0.147)
Ta (0.483, 0.591, 0.854)
Ta (0.072, 0.854, 0.591)
Ta (0.103, 0.397, 0.397)
Ta (0.659, 0.767, 0.178)

Calculated values
Its density of states at the Fermi level is 4.40 states/eV/cell. The value obtained for the formation energy is -0.201 eV per atom. Its energy above the most stable polymorph in this dataset is 39.56 kJ/mol of atoms.

An optimized crystal structure of Ce2TmN3, computed with PBE.

Cell lengths 6.081, 6.081, 6.094 Å; angles 99.55, 99.55, 120.00 degrees
Last column: magnetic moment on the atom in μB.
Fractional positions:
N (0.252, 0.247, 0.757)  -0.01
N (0.753, 0.748, 0.243)  -0.01
N (0.075, 0.408, 0.241)  -0.01
N (0.414, 0.086, 0.243)  -0.01
N (0.914, 0.586, 0.757)  -0.01
N (0.592, 0.925, 0.759)  -0.01
Ce (0.167, 0.833, 0.500)  0.22
Ce (0.833, 0.167, 0.500)  0.23
Ce (0.500, 0.500, 0.500)  0.22
Ce (0.333, 0.667, 0.000)  0.17
Tm (0.667, 0.333, 0.000)  0.01
Tm (0.000, 0.000, 0.000)  0.01

Calculated values
Its density of states at the Fermi level is 9.61 states/eV/cell. The raw total energy is -8.467 eV per atom.

An optimized crystal structure of CsSc2Mn, computed with PBE.

Cell lengths 7.398, 7.398, 7.400 Å; angles 60.01, 60.01, 90.00 degrees
Fractional positions:
Sc (0.875, 0.625, 0.750)
Sc (0.375, 0.625, 0.250)
Sc (0.375, 0.625, 0.750)
Sc (0.375, 0.125, 0.250)
Cs (0.750, 0.250, 0.500)
Cs (0.000, 0.000, 0.000)
Mn (0.250, 0.750, 0.500)
Mn (0.500, 0.500, 0.000)

Calculated values
Its density of states at the Fermi level is 0.00 states/eV/cell. The value obtained for the formation energy is 0.695 eV per atom.

An optimized crystal structure of NaGaH2, computed with PBE.

Cell lengths 4.555, 4.555, 6.513 Å; angles 69.53, 69.53, 90.00 degrees
Fractional positions:
Na (0.250, 0.750, 0.500)
Na (0.500, 0.500, 0.000)
Ga (0.750, 0.250, 0.500)
Ga (0.000, 0.000, 0.000)
H (0.375, 0.174, 0.750)
H (0.875, 0.076, 0.750)
H (0.924, 0.625, 0.250)
H (0.826, 0.125, 0.250)

Calculated values
Its density of states at the Fermi level is 1.75 states/eV/cell. Its energy above the most stable polymorph in this dataset is 26.29 kJ/mol of atoms.

An optimized crystal structure of Li2AgGe2, computed with PBE.

Cell lengths 3.827, 3.827, 6.601 Å; angles 73.15, 73.15, 90.00 degrees
Fractional positions:
Ge (0.598, 0.598, 0.803)
Ge (0.402, 0.402, 0.197)
Ag (0.000, 0.000, 0.000)
Li (0.250, 0.750, 0.500)
Li (0.750, 0.250, 0.500)

Calculated values
Its density of states at the Fermi level is 0.97 states/eV/cell. The value obtained for the formation energy is -0.019 eV per atom. Its energy above the most stable polymorph in this dataset is 15.00 kJ/mol of atoms.

An optimized crystal structure of LaTb3Dy2Ho6, computed with PBE.

Cell lengths 6.158, 6.158, 11.777 Å; angles 94.98, 94.98, 119.97 degrees
Fractional positions:
Dy (0.333, 0.667, 0.000)
Dy (0.667, 0.333, 0.000)
Ho (0.750, 0.750, 0.252)
Ho (0.084, 0.419, 0.252)
Ho (0.916, 0.581, 0.748)
Ho (0.250, 0.250, 0.748)
Ho (0.419, 0.084, 0.252)
Ho (0.581, 0.916, 0.748)
La (0.000, 0.000, 0.000)
Tb (0.167, 0.833, 0.500)
Tb (0.833, 0.167, 0.500)
Tb (0.500, 0.500, 0.500)

Calculated values
Its density of states at the Fermi level is 15.51 states/eV/cell. The value obtained for the formation energy is 0.020 eV per atom.

An optimized crystal structure of La14NdEr, computed with PBE.

Cell lengths 7.394, 7.394, 10.531 Å; angles 90.00, 90.00, 89.94 degrees
Fractional positions:
La (0.623, 0.377, 0.246)
La (0.623, 0.873, 0.249)
La (0.876, 0.626, 0.000)
La (0.127, 0.377, 0.249)
La (0.127, 0.873, 0.250)
La (0.623, 0.377, 0.754)
La (0.127, 0.377, 0.751)
La (0.375, 0.625, 0.500)
La (0.623, 0.873, 0.751)
La (0.875, 0.125, 0.500)
La (0.377, 0.127, 0.500)
La (0.374, 0.124, 0.000)
La (0.127, 0.873, 0.750)
La (0.873, 0.623, 0.500)
Nd (0.875, 0.125, 0.000)
Er (0.375, 0.625, 0.000)

Calculated values
Its density of states at the Fermi level is 28.22 states/eV/cell. The value obtained for the formation energy is 0.007 eV per atom.

An optimized crystal structure of Pr12Nd5Mg2, computed with PBE.

Cell lengths 9.379, 9.305, 8.802 Å; angles 93.02, 90.00, 120.26 degrees
Fractional positions:
Pr (0.670, 0.710, 0.763)
Pr (0.434, 0.258, 0.687)
Pr (0.960, 0.290, 0.237)
Pr (0.075, 0.151, 0.881)
Pr (0.925, 0.849, 0.119)
Pr (0.566, 0.742, 0.313)
Pr (0.040, 0.710, 0.763)
Pr (0.330, 0.290, 0.237)
Pr (0.442, 0.884, 0.659)
Pr (0.824, 0.258, 0.687)
Pr (0.558, 0.116, 0.341)
Pr (0.176, 0.742, 0.313)
Nd (0.768, 0.537, 0.431)
Nd (0.232, 0.463, 0.569)
Nd (0.705, 0.410, 0.030)
Nd (0.000, 0.000, 0.500)
Nd (0.295, 0.590, 0.970)
Mg (0.663, 0.000, 0.000)
Mg (0.337, 0.000, 0.000)

Calculated values
Its density of states at the Fermi level is 25.89 states/eV/cell. The value obtained for the formation energy is 0.073 eV per atom.

An optimized crystal structure of CrTcSb2, computed with PBE.

Cell lengths 4.541, 4.541, 5.558 Å; angles 80.05, 80.05, 43.49 degrees
Last column: magnetic moment on the atom in μB.
Fractional positions:
Tc (0.750, 0.750, 0.750)  -0.06
Sb (0.490, 0.490, 0.515)  -0.03
Sb (0.010, 0.010, 0.985)  -0.03
Cr (0.250, 0.250, 0.250)  3.36

Calculated values
Its density of states at the Fermi level is 3.08 states/eV/cell. Its energy above the most stable polymorph in this dataset is 18.15 kJ/mol of atoms.

An optimized crystal structure of SmTmPd, computed with PBE.

Cell lengths 3.559, 3.559, 6.609 Å; angles 105.62, 105.62, 90.00 degrees
Fractional positions:
Tm (0.300, 0.300, 0.600)
Sm (0.023, 0.023, 0.046)
Pd (0.677, 0.677, 0.354)

Calculated values
Its density of states at the Fermi level is 2.87 states/eV/cell. The value obtained for the formation energy is -0.543 eV per atom. Its energy above the most stable polymorph in this dataset is 4.37 kJ/mol of atoms.

An optimized crystal structure of Pr3Si4Ag2, computed with PBE.

Cell lengths 4.299, 6.000, 8.505 Å; angles 100.96, 90.00, 110.99 degrees
Fractional positions:
Pr (0.000, 0.000, 0.000)
Pr (0.662, 0.323, 0.672)
Pr (0.338, 0.677, 0.328)
Si (0.056, 0.113, 0.396)
Si (0.279, 0.557, 0.950)
Si (0.721, 0.443, 0.050)
Si (0.944, 0.887, 0.604)
Ag (0.615, 0.231, 0.281)
Ag (0.385, 0.769, 0.719)

Calculated values
Its density of states at the Fermi level is 4.30 states/eV/cell. The raw total energy is -5.244 eV per atom.